The following is a PBE calculation of a relaxed structure of NdTl3Bi2Te6, from the Alexandria database.

- raw total energy (eV per atom) = -3.7641
- E_form (uncorrected) (kcal/mol of atoms) = -12.9

Cell lengths 7.941, 7.941, 8.471 Å; angles 99.00, 99.00, 119.99 degrees
Positions (direct):
Nd  0.000  0.000  0.000
Tl  0.165  0.835  0.500
Tl  0.500  0.500  0.500
Tl  0.835  0.165  0.500
Bi  0.334  0.666  0.000
Bi  0.666  0.334  0.000
Te  0.074  0.410  0.221
Te  0.263  0.263  0.781
Te  0.410  0.074  0.221
Te  0.590  0.926  0.779
Te  0.737  0.737  0.219
Te  0.926  0.590  0.779